A plane-wave DFT calculation with PBE was carried out for an optimized crystal structure of EuY2Au.

The structure in extended XYZ format:
```
4
Lattice="-1.309 3.581 -0.580 -0.302 1.385 -3.587 -9.998 -1.896 -1.963" Properties=species:S:1:pos:R:3 pbc="T T T"
Y -2.338 0.979 -1.498
Eu -5.805 1.535 -3.065
Au 0.000 0.000 0.000
Y -9.271 2.091 -4.632
```

Results
Calculated formation energy in eV per formula unit: -1.08
E above lowest polymorph in meV/atom: 90.5
Total moment in μB/f.u.: 7.7
Uncorrected energy in eV for the cell shown: -27.56

***

A plane-wave DFT calculation with PBE was carried out for an optimized crystal structure of CoCu3.

The structure in extended XYZ format:
```
4
Lattice="4.368 -0.039 0.000 1.367 4.149 0.000 -2.868 -2.055 2.576" Properties=species:S:1:pos:R:3 pbc="T T T"
Cu 0.684 2.074 1.288
Cu 2.184 -0.020 1.288
Cu 2.868 2.055 0.000
Co 0.000 0.000 0.000
```

Results
Calculated formation energy in eV per formula unit: 0.67
Total moment in μB/f.u.: 1.4
Uncorrected energy in eV for the cell shown: -18.72

***

A plane-wave DFT calculation with PBE was carried out for an optimized crystal structure of ErGaPb2.

The structure in extended XYZ format:
```
4
Lattice="3.537 0.000 0.000 1.768 3.063 0.000 1.768 1.021 10.870" Properties=species:S:1:pos:R:3 pbc="T T T"
Ga 3.537 2.042 5.435
Er 0.000 0.000 0.000
Pb 1.768 1.021 7.747
Pb 5.305 3.063 3.123
```

Results
Calculated formation energy in eV per formula unit: 0.56
E above lowest polymorph in meV/atom: 411.7
Total moment in μB/f.u.: 0.0
Uncorrected energy in eV for the cell shown: -14.44

***

A plane-wave DFT calculation with PBE was carried out for an optimized crystal structure of NbZn2Bi.

The structure in extended XYZ format:
```
8
Lattice="-1.124 0.131 -7.638 -7.612 -0.671 1.108 -4.602 2.523 -3.183" Properties=species:S:1:pos:R:3 pbc="T T T"
Zn -2.784 0.626 -5.294
Zn -10.959 1.432 -8.120
Nb -8.291 0.791 -2.670
Zn -6.068 0.230 -1.194
Bi -5.047 1.192 -7.043
Zn -6.863 1.678 -4.816
Nb -4.368 -0.270 -3.265
Bi 0.000 0.000 0.000
```

Results
Calculated formation energy in eV per formula unit: 1.74
Total moment in μB/f.u.: 0.0
Uncorrected energy in eV for the cell shown: -29.51

***

A plane-wave DFT calculation with PBE was carried out for an optimized crystal structure of Sn6PdRh2.

The structure in extended XYZ format:
```
18
Lattice="6.713 0.000 -0.719 0.000 6.668 0.000 -1.778 0.000 9.212" Properties=species:S:1:pos:R:3 pbc="T T T"
Sn 3.912 4.465 7.928
Sn 1.023 2.204 0.564
Rh 5.180 2.449 6.466
Rh -0.245 4.219 2.027
Sn 5.009 6.490 1.335
Sn 4.366 4.540 4.880
Sn 0.764 3.513 6.301
Sn 1.445 5.538 3.682
Sn -0.074 0.178 7.157
Pd -0.889 0.000 4.606
Pd 3.357 3.334 -0.360
Sn 4.171 3.156 2.192
Rh 2.223 5.783 6.273
Rh 2.712 0.885 2.220
Sn 1.899 5.463 0.634
Sn 3.036 1.206 7.858
Sn 3.490 1.130 4.810
Sn 0.569 2.128 3.612
```

Results
Calculated formation energy in eV per formula unit: -2.63
Total moment in μB/f.u.: 0.0
Uncorrected energy in eV for the cell shown: -93.08

***

A plane-wave DFT calculation with PBE was carried out for an optimized crystal structure of Li2CdRe.

The structure in extended XYZ format:
```
4
Lattice="-2.311 -1.278 0.152 1.284 -2.310 0.100 0.296 0.562 9.191" Properties=species:S:1:pos:R:3 pbc="T T T"
Li 0.005 0.010 0.160
Re -0.439 -1.654 2.424
Li 0.143 0.271 4.436
Cd -0.292 -1.372 7.019
```

Results
Calculated formation energy in eV per formula unit: 0.79
Total moment in μB/f.u.: 0.0
Uncorrected energy in eV for the cell shown: -16.40

***

A plane-wave DFT calculation with PBE was carried out for an optimized crystal structure of ZnAgAu2.

The structure in extended XYZ format:
```
4
Lattice="-7.824 -1.472 -4.543 -8.137 -3.492 -2.370 -8.943 -0.658 -1.899" Properties=species:S:1:pos:R:3 pbc="T T T"
Au -24.774 -5.593 -8.767
Au -12.581 -2.840 -4.452
Ag -18.678 -4.217 -6.609
Zn -6.226 -1.406 -2.203
```

Results
Calculated formation energy in eV per formula unit: -0.34
Total moment in μB/f.u.: 0.0
Uncorrected energy in eV for the cell shown: -11.02

***

A plane-wave DFT calculation with PBE was carried out for an optimized crystal structure of TlCo2As2.

The structure in extended XYZ format:
```
10
Lattice="-6.429 -3.660 -1.030 1.598 -4.437 5.792 -1.371 1.894 1.828" Properties=species:S:1:pos:R:3 pbc="T T T"
As -0.554 -2.389 4.468
Co -4.627 -5.975 2.718
As -2.792 -0.990 1.341
Co -0.204 -2.121 2.044
Tl 0.000 0.000 0.000
Co -1.013 -5.255 4.682
Tl -2.416 -4.048 2.381
As -5.649 -3.814 2.123
Co -3.818 -2.841 0.080
As -3.410 -5.213 5.250
```

Results
Calculated formation energy in eV per formula unit: 0.96
E above lowest polymorph in meV/atom: 5.1
Total moment in μB/f.u.: 1.0
Uncorrected energy in eV for the cell shown: -49.83